First-principles (PBE) data for a geometry-optimized Ba2YRu structure, as listed in Alexandria.

Properties
As for the space-group type: I4/mmm, No. 139. The total energy comes out at -4.2966 eV/atom.

Lattice parameters (Å, degrees): 6.5476 6.5476 6.5476 138.48 138.48 60.17
Fractional coordinates of all 4 atoms:
Ba  0.0000  0.0000  0.0000
Ba  0.5000  0.5000  0.0000
Ru  0.2500  0.7500  0.5000
Y  0.7500  0.2500  0.5000